VASP calculation (PBE) on crystalline ReRu at its relaxed geometry.

Calculated volume = 14.53 Å³ per atom
Space group = No. 129
Spin magnetization = 0.0 μB per formula unit
D(E_F) = 3.43 states/eV/cell
Total DFT energy (no corrections) = -10.806 eV/atom

a = 2.735 Å, b = 2.735 Å, c = 7.771 Å
α = 90.00°, β = 90.00°, γ = 90.00°
Atoms (fractional coordinates):
Re  0.250  0.250  0.135
Re  0.750  0.750  0.865
Ru  0.250  0.250  0.630
Ru  0.750  0.750  0.370



VASP calculation (PBE) on crystalline Co2RhBr at its relaxed geometry.

Calculated volume = 14.56 Å³ per atom
Energy relative to the lowest polymorph listed for this composition = 349 meV/atom
Space group = No. 216
Spin magnetization = 4.9 μB per formula unit
D(E_F) = 5.51 states/eV/cell

a = 4.351 Å, b = 4.351 Å, c = 4.351 Å
α = 60.00°, β = 60.00°, γ = 60.00°
Atoms (fractional coordinates):
Co  0.000  0.000  0.000
Co  0.250  0.250  0.250
Rh  0.750  0.750  0.750
Br  0.500  0.500  0.500



VASP calculation (PBE) on crystalline CdTc2Pb at its relaxed geometry.

Calculated volume = 20.26 Å³ per atom
Energy relative to the lowest polymorph listed for this composition = 916 meV/atom
Space group = No. 122
Spin magnetization = 3.4 μB per formula unit
D(E_F) = 9.05 states/eV/cell

a = 6.069 Å, b = 6.069 Å, c = 6.069 Å
α = 102.18°, β = 102.18°, γ = 125.32°
Atoms (fractional coordinates):
Cd  0.000  0.000  0.000
Cd  0.750  0.250  0.500
Tc  0.129  0.125  0.504
Tc  0.375  0.871  0.996
Tc  0.621  0.625  0.496
Tc  0.875  0.379  0.004
Pb  0.250  0.750  0.500
Pb  0.500  0.500  0.000



VASP calculation (PBE) on crystalline BaLi2CdPt at its relaxed geometry.

Calculated volume = 26.69 Å³ per atom
Space group = No. 123
Spin magnetization = 0.0 μB per formula unit
D(E_F) = 3.09 states/eV/cell
Total DFT energy (no corrections) = -2.843 eV/atom

a = 5.011 Å, b = 5.011 Å, c = 5.314 Å
α = 90.00°, β = 90.00°, γ = 90.00°
Atoms (fractional coordinates):
Ba  0.000  0.000  0.000
Li  0.000  0.500  0.500
Li  0.500  0.000  0.500
Cd  0.500  0.500  0.000
Pt  0.500  0.500  0.500